[1]
The following is a PBE calculation of a relaxed structure of DyHo2Mg, from Alexandria via LeMat-Bulk.

Unit cell a=3.5070 b=3.5070 c=33.3442 alpha=90.00 beta=90.00 gamma=120.00
With the nearest neighbours (Å) after each atom.
Space group R-3m (No. 166, hexagonal axes)
Unique sites:
Dy1 0.0000 0.0000 0.0000 x3  6 Dy 3.51, 6 Ho 3.51
Ho1 0.0000 0.0000 0.2473 x6  3 Mg 3.37, 6 Ho 3.51, 3 Dy 3.51
Mg1 0.0000 0.0000 0.5000 x3  6 Ho 3.37, 6 Mg 3.51

The magnetization is 0.00 μB per atom. Its calculated total energy is -3.82 eV/atom. For the polymorph energy (0 for the lowest one), the calculation gives 17 kJ/mol of formula units.


[2]
The following is a PBE calculation of a relaxed structure of Ba4IN12, from Alexandria via LeMat-Bulk.

Unit cell a=8.8546 b=8.8546 c=8.8546 alpha=90.00 beta=90.00 gamma=90.00
With the nearest neighbours (Å) after each atom.
Space group Im-3 (No. 204)
Unique sites:
Ba1 0.2500 0.2500 0.2500 x8  6 N 2.88
I1 0.0000 0.0000 0.0000 x2  8 Ba 3.83, 12 N 4.07
N1 0.0000 0.4332 0.1526 x24  1 N 1.18

The magnetization is 0.29 μB per atom. The value obtained for the formation energy without anion corrections is -277 meV per atom. Its calculated total energy is -6.70 eV/atom.


[3]
The following is a PBE calculation of a relaxed structure of Ca3Cd2Ag6, from Alexandria via LeMat-Bulk.

Unit cell a=10.1179 b=10.1179 c=10.1179 alpha=90.00 beta=90.00 gamma=90.00
With the nearest neighbours (Å) after each atom.
Space group Im-3m (No. 229)
Unique sites:
Ca1 0.0000 0.0000 0.2818 x12  8 Ag 3.17-3.51
Cd1 0.2500 0.2500 0.2500 x8  6 Ag 2.85
Ag1 0.0000 0.3413 0.3413 x24  2 Cd 2.85, 4 Ag 2.93, 2 Ca 3.17

The magnetization is 0.00 μB per atom. Its calculated total energy is -2.51 eV/atom.


[4]
The following is a PBE calculation of a relaxed structure of SrZrPb2, from Alexandria via LeMat-Bulk.

Unit cell a=7.8966 b=7.8966 c=7.8966 alpha=90.00 beta=90.00 gamma=90.00
With the nearest neighbours (Å) after each atom.
Space group F-43m (No. 216)
Unique sites:
Sr1 0.0000 0.0000 0.0000 x4  4 Pb 3.42, 4 Zr 3.42
Zr1 0.2500 0.2500 0.2500 x4  4 Sr 3.42, 4 Pb 3.42
Pb1 0.0000 0.0000 0.5000 x4  4 Zr 3.42, 4 Pb 3.42
Pb2 0.2500 0.2500 0.7500 x4  4 Pb 3.42, 4 Sr 3.42

The magnetization is 0.60 μB per atom. Its calculated total energy is -4.13 eV/atom.


[5]
The following is a PBE calculation of a relaxed structure of LiGaSn, from Alexandria via LeMat-Bulk.

Unit cell a=4.9177 b=4.9177 c=5.9877 alpha=90.00 beta=90.00 gamma=120.00
With the nearest neighbours (Å) after each atom.
Space group P6_3/mmc (No. 194)
Unique sites:
Li1 0.0000 0.0000 0.0000 x2  2 Li 2.99, 6 Sn 3.21, 6 Ga 3.21
Ga1 0.3333 0.6667 0.2500 x2  5 Sn 2.84-2.99
Sn1 0.3333 0.6667 0.7500 x2  5 Ga 2.84-2.99

The magnetization is 0.00 μB per atom. Its calculated total energy is -3.17 eV/atom.


[6]
The following is a PBE calculation of a relaxed structure of TeAuF3, from Alexandria via LeMat-Bulk.

Unit cell a=4.5183 b=4.5183 c=4.5183 alpha=90.00 beta=90.00 gamma=90.00
With the nearest neighbours (Å) after each atom.
Space group Pm-3m (No. 221)
Unique sites:
Te1 0.0000 0.0000 0.0000 x1  12 F 3.19
Au1 0.5000 0.5000 0.5000 x1  6 F 2.26
F1 0.0000 0.5000 0.5000 x3  2 Au 2.26

The magnetization is 0.59 μB per atom. The value obtained for the formation energy without anion corrections is -499 meV per atom. Its calculated total energy is -2.91 eV/atom. For the polymorph energy (0 for the lowest one), the calculation gives 128 kJ/mol of formula units.